[1]
VASP calculation (PBEsol) on an optimized crystal structure of TcAsSBr2.

Its energy relative to the elements, uncorrected is 1206 meV/atom. Its energy above the lowest structure with this stoichiometry is 581 meV per atom.

The space group is P4/mmm (No. 123) and the conventional cell measures 4.912, 4.912 and 4.951 Å, with angles of 90.00, 90.00 and 90.00 degrees. The distinct sites, in fractional coordinates, are Tc at (0.000, 0.000, 0.000), As at (0.500, 0.500, 0.000), S at (0.500, 0.500, 0.500) and Br at (0.000, 0.500, 0.500).

***

[2]
VASP calculation (PBEsol) on an optimized crystal structure of ScAl2Os.

The calculation puts the calculated formation energy at 0.08 eV/atom.

The space group is I-42d (No. 122) and the conventional cell measures 3.821, 3.821 and 18.902 Å, with angles of 90.00, 90.00 and 90.00 degrees. The distinct sites, in fractional coordinates, are Sc at (0.000, 0.000, 0.000), Al at (0.233, 0.250, 0.625) and Os at (0.000, 0.000, 0.500).